1.
A geometry-optimized Li8Ga2Au structure, computed with GGA-PBE.

The polymorph energy (0 for the lowest one) comes out at 0 meV/atom. As for the density of states at the Fermi level: 4.1 states/eV/f.u. Its total energy is -55.60 eV per cell. As for the formation energy: -3.16 eV/f.u. The spin magnetization comes out at 0.0 Bohr magnetons per cell.

It has space group C2/m (No. 12), with a = 14.731 Å, b = 4.069 Å, c = 5.963 Å, α = 90.00°, β = 99.50° and γ = 90.00°. The asymmetric unit holds Li at (0.046, 0.000, 0.239), Li at (0.096, 0.500, 0.943), Li at (0.137, 0.000, 0.683), Li at (0.180, 0.500, 0.405), Ga at (0.224, 0.000, 0.127) and Au at (0.000, 0.500, 0.500).

***

2.
A geometry-optimized Li2Ga2Au7 structure, computed with GGA-PBE.

The polymorph energy (0 for the lowest one) comes out at 0 meV/atom. As for the density of states at the Fermi level: 1.9 states/eV/f.u. Its total energy is -71.72 eV per cell. As for the formation energy: -3.04 eV/f.u. The spin magnetization comes out at 0.0 Bohr magnetons per cell.

It has space group C2/m (No. 12), with a = 8.217 Å, b = 9.950 Å, c = 5.322 Å, α = 90.00°, β = 112.07° and γ = 90.00°. The asymmetric unit holds Li at (0.224, 0.000, 0.044), Ga at (0.000, 0.316, 0.000), Au at (0.000, 0.000, 0.500), Au at (0.132, 0.500, 0.385) and Au at (0.175, 0.249, 0.702).

***

3.
A geometry-optimized LiGa2Au structure, computed with GGA-PBE.

As for the density of states at the Fermi level: 1.2 states/eV/f.u. Its total energy is -37.90 eV per cell. As for the formation energy: -1.39 eV/f.u. The spin magnetization comes out at 0.0 Bohr magnetons per cell.

It has space group R3m (No. 160, hexagonal axes), with a = 4.3686 Å, b = 4.3686 Å, c = 13.1346 Å, α = 90.00°, β = 90.00° and γ = 120.00°. The asymmetric unit holds Li at (0.0000, 0.0000, 0.0000), Ga at (0.0000, 0.0000, 0.5837), Ga at (0.0000, 0.0000, 0.7864) and Au at (0.0000, 0.0000, 0.2009).

***

4.
A geometry-optimized Li2Ga6Au structure, computed with GGA-PBE.

The polymorph energy (0 for the lowest one) comes out at 0 meV/atom. As for the density of states at the Fermi level: 2.4 states/eV/f.u. Its total energy is -27.15 eV per cell. As for the formation energy: -1.89 eV/f.u. The spin magnetization comes out at 0.0 Bohr magnetons per cell.

It has space group P-1 (No. 2), with a = 4.172 Å, b = 6.299 Å, c = 6.547 Å, α = 110.22°, β = 93.36° and γ = 104.03°. The asymmetric unit holds Li at (0.064, 0.114, 0.328), Ga at (0.144, 0.315, 0.000), Ga at (0.276, 0.553, 0.667), Ga at (0.402, 0.777, 0.319) and Au at (0.500, 0.000, 0.000).

***

5.
A geometry-optimized LiGa3Au structure, computed with GGA-PBE.

The polymorph energy (0 for the lowest one) comes out at 6 meV/atom. As for the density of states at the Fermi level: 1.6 states/eV/f.u. Its total energy is -30.91 eV per cell. As for the formation energy: -1.19 eV/f.u. The spin magnetization comes out at 0.0 Bohr magnetons per cell.

It has space group Cm (No. 8), with a = 5.613 Å, b = 5.631 Å, c = 6.619 Å, α = 90.00°, β = 113.37° and γ = 90.00°. The asymmetric unit holds Li at (0.000, 0.000, 0.000), Ga at (0.035, 0.247, 0.554), Ga at (0.143, 0.500, 0.264) and Au at (0.429, 0.000, 0.855).

***

6.
A geometry-optimized LiGa2Au structure, computed with GGA-PBE.

As for the density of states at the Fermi level: 1.8 states/eV/f.u. Its total energy is -33.43 eV per cell. As for the formation energy: 0.10 eV/f.u. The spin magnetization comes out at 0.0 Bohr magnetons per cell.

It has space group R-3m (No. 166, hexagonal axes), with a = 4.5045 Å, b = 4.5045 Å, c = 18.1561 Å, α = 90.00°, β = 90.00° and γ = 120.00°. The asymmetric unit holds Li at (0.0000, 0.0000, 0.0000), Ga at (0.0000, 0.0000, 0.1426) and Au at (0.0000, 0.0000, 0.5000).